# 1
RuPt2Au, relaxed, DFT PBE-GGA; E_form = 0.0960 eV/atom; excess energy over the best structure of this formula in the dataset = 56 meV per atom
1.0
1.398 0.807 9.292
-1.398 0.807 9.292
0.000 -1.615 9.292
Ru Pt Au
1 2 1
direct
0.000 0.000 0.000
0.256 0.256 0.256
0.505 0.505 0.505
0.751 0.751 0.751

***

# 2
RuPt2Au, relaxed, DFT PBE-GGA; E_form = 0.1706 eV/atom; excess energy over the best structure of this formula in the dataset = 130 meV per atom
1.0
-1.984 1.984 4.000
1.984 -1.984 4.000
1.984 1.984 -4.000
Ru Pt Au
1 2 1
direct
0.000 0.000 0.000
0.250 0.750 0.500
0.750 0.250 0.500
0.500 0.500 0.000